Record 1
Here is a relaxed structure of Cs3Sm3TcO8 from Alexandria via LeMat-Bulk. Energies are from PBE.

Computed properties:
Its space group is No. 166. The value obtained for the theoretical density is 5.99 g/cm³. The formation energy from raw total energies comes out at -34.7 eV per formula unit.

Geometry as POSCAR:
```
Cs3Sm3TcO8
1.0
3.519 2.032 6.954
-3.519 2.032 6.954
0.000 -4.064 6.954
Cs Sm Tc O
3 3 1 8
Direct
0.000 0.500 0.500
0.500 0.000 0.500
0.500 0.500 0.000
0.000 0.000 0.500
0.000 0.500 0.000
0.500 0.000 0.000
0.500 0.500 0.500
0.222 0.222 0.222
0.251 0.702 0.702
0.298 0.298 0.749
0.298 0.749 0.298
0.702 0.251 0.702
0.702 0.702 0.251
0.749 0.298 0.298
0.778 0.778 0.778
```

Record 2
Here is a relaxed structure of NdAgSb3 from Alexandria via LeMat-Bulk. Energies are from PBE.

Computed properties:
Its space group is No. 57. The value obtained for the theoretical density is 7.66 g/cm³. The formation energy from raw total energies comes out at -2.2 eV per formula unit. For the density of states at the Fermi level, the calculation gives 1.97 states/eV/f.u.

Geometry as POSCAR:
```
NdAgSb3
1.0
13.516 0.000 0.000
0.000 6.267 0.000
0.000 0.000 6.319
Nd Ag Sb
4 4 12
Direct
0.184 0.001 0.250
0.184 0.499 0.750
0.816 0.501 0.250
0.816 0.999 0.750
0.385 0.750 0.000
0.385 0.750 0.500
0.615 0.250 0.000
0.615 0.250 0.500
0.002 0.750 0.000
0.002 0.750 0.500
0.249 0.010 0.750
0.249 0.490 0.250
0.426 0.195 0.250
0.426 0.305 0.750
0.574 0.695 0.250
0.574 0.805 0.750
0.751 0.510 0.750
0.751 0.990 0.250
0.998 0.250 0.000
0.998 0.250 0.500
```

Record 3
Here is a relaxed structure of TbNdHg from Alexandria via LeMat-Bulk. Energies are from PBE.

Computed properties:
Its space group is No. 216. Its formation energy is -0.0948 eV/atom. The value obtained for the theoretical density is 8.44 g/cm³. For the density of states at the Fermi level, the calculation gives 5.06 states/eV/f.u.

Geometry as POSCAR:
```
TbNdHg
1.0
7.345 0.000 0.000
0.000 7.345 0.000
0.000 0.000 7.345
Tb Nd Hg
4 4 4
Direct
0.000 0.000 0.000
0.000 0.500 0.500
0.500 0.000 0.500
0.500 0.500 0.000
0.000 0.000 0.500
0.000 0.500 0.000
0.500 0.000 0.000
0.500 0.500 0.500
0.250 0.250 0.250
0.250 0.750 0.750
0.750 0.250 0.750
0.750 0.750 0.250
```

Record 4
Here is a relaxed structure of NaZnCdIn from Alexandria via LeMat-Bulk. Energies are from PBE.

Computed properties:
Its space group is No. 216. Its formation energy is -0.0098 eV/atom. The value obtained for the theoretical density is 5.81 g/cm³. For the density of states at the Fermi level, the calculation gives 1.61 states/eV/f.u.

Geometry as POSCAR:
```
NaZnCdIn
1.0
7.117 0.000 0.000
0.000 7.117 0.000
0.000 0.000 7.117
Na Zn Cd In
4 4 4 4
Direct
0.000 0.000 0.000
0.000 0.500 0.500
0.500 0.000 0.500
0.500 0.500 0.000
0.250 0.250 0.250
0.250 0.750 0.750
0.750 0.250 0.750
0.750 0.750 0.250
0.250 0.250 0.750
0.250 0.750 0.250
0.750 0.250 0.250
0.750 0.750 0.750
0.000 0.000 0.500
0.000 0.500 0.000
0.500 0.000 0.000
0.500 0.500 0.500
```

> Which value of theoretical density does entry 1 give?

5.99 g/cm³

> What is the theoretical density in the second record?

7.66 g/cm³

> Which formula does entry 1 have?

Cs3Sm3TcO8

What did the first record say?
Here is a relaxed structure of Cs3Sm3TcO8 from Alexandria via LeMat-Bulk. Energies are from PBE.

Computed properties:
Its space group is No. 166. The value obtained for the theoretical density is 5.99 g/cm³. The formation energy from raw total energies comes out at -34.7 eV per formula unit.

Geometry as POSCAR:
```
Cs3Sm3TcO8
1.0
3.519 2.032 6.954
-3.519 2.032 6.954
0.000 -4.064 6.954
Cs Sm Tc O
3 3 1 8
Direct
0.000 0.500 0.500
0.500 0.000 0.500
0.500 0.500 0.000
0.000 0.000 0.500
0.000 0.500 0.000
0.500 0.000 0.000
0.500 0.500 0.500
0.222 0.222 0.222
0.251 0.702 0.702
0.298 0.298 0.749
0.298 0.749 0.298
0.702 0.251 0.702
0.702 0.702 0.251
0.749 0.298 0.298
0.778 0.778 0.778
```